Record 1
Here is crystalline Nd2AlI at its relaxed geometry from Alexandria via LeMat-Bulk. Energies are from GGA-PBE.

## Properties
The calculation puts the energy above the most stable polymorph in this dataset at 0.000 eV/atom. The value obtained for the density of states at the Fermi level is 1.79 states/eV/cell. As for the space group: No. 160. Its density is 6.03 g cm⁻³. The raw total energy is -17.17 eV per cell. For the volume, the calculation gives 30.458 Å³ per atom.

abc: 3.945 3.945 9.324
angles: 77.79 77.79 60.00
Atoms (fractional coordinates):
I (0.499, 0.499, 0.502)
Nd (0.257, 0.257, 0.230)
Nd (0.077, 0.077, 0.770)
Al (0.667, 0.667, 0.999)

Record 2
Here is crystalline Nd5Al2I2 at its relaxed geometry from Alexandria via LeMat-Bulk. Energies are from GGA-PBE.

## Properties
The value obtained for the density of states at the Fermi level is 23.81 states/eV/cell. As for the space group: No. 64. Its density is 6.28 g cm⁻³. The raw total energy is -79.25 eV per cell. For the volume, the calculation gives 30.254 Å³ per atom.

abc: 8.278 8.213 9.016
angles: 90.00 62.67 90.00
Atoms (fractional coordinates):
I (0.203, 0.000, 0.593)
Nd (0.042, 0.669, 0.258)
Nd (0.300, 0.669, 0.742)
Nd (0.958, 0.331, 0.742)
Al (0.380, 0.882, 0.000)
Nd (0.200, 0.169, 0.258)
Nd (0.458, 0.169, 0.742)
Nd (0.700, 0.331, 0.258)
I (0.297, 0.500, 0.407)
Al (0.120, 0.382, 0.000)
Nd (0.800, 0.831, 0.742)
Nd (0.542, 0.831, 0.258)
Nd (0.500, 0.500, 0.000)
I (0.703, 0.500, 0.593)
Nd (0.000, 0.000, 0.000)
Al (0.880, 0.618, 0.000)
I (0.797, 0.000, 0.407)
Al (0.620, 0.118, 0.000)